Material: TcRuO4
Method: DFT, PBE
State: relaxed

```
12
Lattice="-0.820 4.951 -2.442 -2.947 -4.354 -1.874 -1.573 0.684 5.311" Properties=species:S:1:pos:R:3 pbc="T T T"
Tc -0.866 0.137 -0.992
Tc -3.004 3.104 -0.636
Ru -2.878 0.456 -3.298
Ru -1.249 2.826 1.374
O -4.056 -2.410 1.350
O -3.154 2.185 1.044
O -2.321 1.399 -1.559
O -0.558 1.219 0.567
O -2.955 -0.127 2.627
O -1.922 4.430 2.201
O -1.210 3.763 -0.434
O -2.283 -0.971 0.002
```

## Properties
Distance to the lowest polymorph of the same formula: 0 meV per atom
Symmetry: No. 109
Crystal system: tetragonal
Total magnetization: 0.00 Bohr magnetons per cell
Energy relative to the elements, uncorrected: -681 kJ/mol of formula units

Material: TcRu3O
Method: DFT, PBE
State: relaxed

```
5
Lattice="4.656 0.000 0.000 0.000 4.656 0.000 0.000 0.000 4.656" Properties=species:S:1:pos:R:3 pbc="T T T"
Ru 0.000 2.328 0.000
Ru 0.000 0.000 2.328
Ru 2.328 0.000 0.000
Tc 0.000 0.000 0.000
O 2.328 2.328 2.328
```

## Properties
Distance to the lowest polymorph of the same formula: 1733 meV per atom
Symmetry: No. 221
Crystal system: cubic
Total magnetization: 4.93 Bohr magnetons per cell
Energy relative to the elements, uncorrected: 1037 kJ/mol of formula units

Material: TlTc2RuO8
Method: DFT, PBE
State: relaxed

```
12
Lattice="-4.137 3.095 -1.721 0.249 -5.250 -1.425 -4.222 -1.987 6.580" Properties=species:S:1:pos:R:3 pbc="T T T"
Tl 0.000 0.000 0.000
Tc -3.861 -0.245 0.225
Tc -4.250 -3.897 3.209
Ru -2.111 -0.993 3.290
O -5.167 -4.329 4.639
O -2.755 -1.060 1.388
O -4.533 1.261 0.948
O -2.943 0.187 -1.204
O -3.577 -5.402 2.486
O -5.355 -3.081 2.046
O -2.920 -2.786 3.698
O -5.190 -1.356 -0.263
```

## Properties
Symmetry: No. 147
Crystal system: trigonal
Total magnetization: 0.00 Bohr magnetons per cell
Energy relative to the elements, uncorrected: -1371 kJ/mol of formula units